An optimized crystal structure of Rb2NaSe. Source: Alexandria, functional PBE. Values from VASP.

Values from the calculation:
Space-group type: No. 122
Magnetization (μB/f.u.): 0.001
Fermi-level density of states (states/eV/cell): 5.62
Uncorrected formation energy (eV/atom): -0.33
Raw total energy (eV per atom): -2.01

The structure in Quantum ESPRESSO input format:
```
&SYSTEM
  ibrav = 0, nat = 8, ntyp = 3
/
ATOMIC_SPECIES
Rb 85.47 Rb.upf
Na 22.99 Na.upf
Se 78.96 Se.upf
CELL_PARAMETERS angstrom
-2.925 2.925 11.262
2.925 -2.925 11.262
2.925 2.925 -11.262
ATOMIC_POSITIONS angstrom
Rb 4.388 1.150 -2.816
Rb 1.150 1.463 2.816
Rb -1.463 1.775 8.447
Rb 1.775 1.463 14.078
Na 2.925 0.000 5.631
Na 0.000 0.000 11.262
Se 0.000 0.000 0.000
Se 0.000 2.925 5.631
```

=====

An optimized crystal structure of RbNa2Se2. Source: Alexandria, functional PBE. Values from VASP.

Values from the calculation:
Space-group type: No. 11
Magnetization (μB/f.u.): 0.000
Fermi-level density of states (states/eV/cell): 1.81
Uncorrected formation energy (eV/atom): -0.96
Distance to the lowest polymorph of the same formula (eV per atom): 0.000
Raw total energy (eV per atom): -3.08

The structure in Quantum ESPRESSO input format:
```
&SYSTEM
  ibrav = 0, nat = 10, ntyp = 3
/
ATOMIC_SPECIES
Rb 85.47 Rb.upf
Na 22.99 Na.upf
Se 78.96 Se.upf
CELL_PARAMETERS angstrom
5.006 0.000 0.000
0.000 5.126 0.000
-1.457 0.000 11.821
ATOMIC_POSITIONS angstrom
Rb 0.556 1.282 3.173
Rb 2.994 3.845 8.648
Na 0.519 3.845 5.907
Na 0.531 1.282 10.346
Na 3.018 3.845 1.475
Na 3.030 1.282 5.913
Se 0.458 3.845 0.039
Se 0.524 1.282 7.468
Se 3.025 3.845 4.353
Se 3.092 1.282 11.782
```

=====

An optimized crystal structure of Rb3NaSe2. Source: Alexandria, functional PBE. Values from VASP.

Values from the calculation:
Space-group type: No. 72
Magnetization (μB/f.u.): 0.000
Fermi-level density of states (states/eV/cell): 0.00
Uncorrected formation energy (eV/atom): -1.04
Raw total energy (eV per atom): -2.90

The structure in Quantum ESPRESSO input format:
```
&SYSTEM
  ibrav = 0, nat = 12, ntyp = 3
/
ATOMIC_SPECIES
Rb 85.47 Rb.upf
Na 22.99 Na.upf
Se 78.96 Se.upf
CELL_PARAMETERS angstrom
-4.061 7.961 3.546
4.061 -7.961 3.546
4.061 7.961 -3.546
ATOMIC_POSITIONS angstrom
Rb 5.561 2.911 0.000
Rb 0.000 0.000 1.773
Rb 1.499 5.049 0.000
Rb 2.562 2.911 3.546
Rb 0.000 0.000 5.319
Rb -1.499 5.049 3.546
Na 4.061 0.000 1.773
Na 0.000 7.961 1.773
Se 2.341 1.732 0.000
Se 2.341 -1.732 3.546
Se 1.720 9.693 0.000
Se 1.720 6.229 3.546
```